First-principles (PBE) data for a relaxed KZrHg4 crystal, as listed in Alexandria via LeMat-Bulk.

Lattice parameters (Å, degrees): 5.9871 5.9871 5.9871 60.00 60.00 60.00
Last column: nearest neighbours and their distance in Å.
Fractional coordinates of all 6 atoms:
1 K 0.0000 0.0000 0.0000  12 Hg 3.51, 4 Zr 3.67
2 Zr 0.7500 0.7500 0.7500  12 Hg 3.51, 4 K 3.67
3 Hg 0.3758 0.3758 0.3758  6 Hg 2.97-3.01
4 Hg 0.3758 0.3758 0.8726  6 Hg 2.97-3.01
5 Hg 0.3758 0.8726 0.3758  6 Hg 2.97-3.01
6 Hg 0.8726 0.3758 0.3758  6 Hg 2.97-3.01

Total DFT energy (no corrections) (eV/atom): -1.573
Calculated volume (A^3/atom): 25.29
Formation energy from the elements (meV per atom): 236